Below is an optimized crystal structure of KInGa2, with properties calculated at the PBE level.

```
KInGa2
1.0
-0.9341 -1.8721 -4.9050
5.1839 0.4598 -1.1627
3.6259 -9.6857 0.1075
K Ga In
2 4 2
Direct
0.5000 0.5000 0.0000
0.2500 0.7500 0.5000
0.8747 0.1250 0.2500
0.8753 0.6250 0.2500
0.3750 0.1253 0.7500
0.8750 0.1247 0.7500
0.0000 0.0000 0.0000
0.7500 0.2500 0.5000
```

- ΔH_f (0 K): 0.085 eV per atom
- Size of the total moment: 0.0 μB per formula unit
- Space group: I4_1/amd, No. 141

---

Below is an optimized crystal structure of BaAg2O2, with properties calculated at the PBE level.

```
BaAg2O2
1.0
-5.9523 0.1401 -3.5077
-3.4613 -5.5500 2.2296
2.9546 5.0295 3.7052
Ba Ag O
2 4 4
Direct
0.5000 0.5000 0.0000
0.2500 0.7500 0.5000
0.3750 0.1250 0.2500
0.8750 0.1250 0.2500
0.8750 0.6250 0.7500
0.8750 0.1250 0.7500
0.0106 0.5106 0.5000
0.2606 0.2606 0.0000
0.7394 0.7394 0.0000
0.4894 0.9894 0.5000
```

- Size of the total moment: 0.0 μB per formula unit
- Formation energy from raw total energies: -1.113 eV/atom
- Space group: I4_1/amd, No. 141